Entry from the Alexandria database: a geometry-optimized PuZnSnPb structure (PBE).

Properties
Energy of formation from the pure elements: -18 kJ/mol of atoms

```
data_PuZnSnPb
_chemical_formula_sum 'Pu1 Zn1 Sn1 Pb1'
_space_group_name_H-M_alt 'P m m m'
_space_group_IT_number 47
_space_group_name_Hall '-P 2 2'
_cell_length_a 4.481
_cell_length_b 4.635
_cell_length_c 4.706
_cell_angle_alpha 90.00
_cell_angle_beta 90.00
_cell_angle_gamma 90.00
loop_
_atom_site_label
_atom_site_fract_x
_atom_site_fract_y
_atom_site_fract_z
Pu1 0.000 0.000 0.000
Zn1 0.000 0.500 0.500
Sn1 0.500 0.500 0.000
Pb1 0.500 0.000 0.500
```


Entry from the Alexandria database: a geometry-optimized InSbP2O structure (PBE).

Properties
E above lowest polymorph: 232.8 meV per atom
Formation energy without anion corrections: 0.466 eV/atom

```
data_InSbP2O
_chemical_formula_sum 'In1 Sb1 P2 O1'
_space_group_name_H-M_alt 'P 4/m m m'
_space_group_IT_number 123
_space_group_name_Hall '-P 4 2'
_cell_length_a 5.120
_cell_length_b 5.120
_cell_length_c 4.031
_cell_angle_alpha 90.00
_cell_angle_beta 90.00
_cell_angle_gamma 90.00
loop_
_atom_site_label
_atom_site_fract_x
_atom_site_fract_y
_atom_site_fract_z
In1 0.000 0.000 0.000
Sb1 0.500 0.500 0.500
P1 0.000 0.500 0.000
O1 0.000 0.000 0.500
```


Entry from the Alexandria database: a geometry-optimized LiCaSb2 structure (PBE).

Properties
E above lowest polymorph: 75.3 meV per atom
Formation energy without anion corrections: -0.547 eV/atom

```
data_LiCaSb2
_chemical_formula_sum 'Li1 Ca1 Sb2'
_space_group_name_H-M_alt 'P 4 m m'
_space_group_IT_number 99
_space_group_name_Hall 'P 4 -2'
_cell_length_a 5.502
_cell_length_b 5.502
_cell_length_c 3.438
_cell_angle_alpha 90.00
_cell_angle_beta 90.00
_cell_angle_gamma 90.00
loop_
_atom_site_label
_atom_site_fract_x
_atom_site_fract_y
_atom_site_fract_z
Li1 0.000 0.000 0.000
Ca1 0.500 0.500 0.001
Sb1 0.000 0.500 0.501
```


| no. | electronic total energy (eV per atom) | total moment (μB per atom) |
| --- | --- | --- |
| 1 | -6.02 | 1.391 |
| 2 | -4.06 | 0.000 |
| 3 | -3.59 | 0.000 |